Record 1
Density functional theory data (PBEsol) for crystalline YB3S at its relaxed geometry.

Geometry as extended XYZ:
```
5
Lattice="-4.2958 -1.7572 0.7882 1.8531 -3.2468 2.8614 -0.5244 2.9212 3.6543" Properties=species:S:1:pos:R:3 pbc="T T T"
B -2.1479 -0.8786 0.3941
B 0.9266 -1.6234 1.4307
B -0.2622 1.4606 1.8272
Y 0.0000 0.0000 0.0000
S -1.4836 -1.0414 3.6520
```

Properties
**Crystal system**: cubic


Record 2
Density functional theory data (PBEsol) for crystalline TlP2AuO at its relaxed geometry.

Geometry as extended XYZ:
```
5
Lattice="3.9336 0.0000 0.0000 0.0000 4.9045 0.0000 0.0000 0.0000 4.9045" Properties=species:S:1:pos:R:3 pbc="T T T"
P 0.0000 2.4523 0.0000
P 0.0000 0.0000 2.4523
Au 0.0000 0.0000 0.0000
Tl 1.9668 2.4523 2.4523
O 1.9668 0.0000 0.0000
```

Properties
**Crystal system**: tetragonal


Number 1: DOS at the Fermi energy 2.66 states/eV/cell, density 2.44 g/cm³, raw formation energy 2.524 eV/atom. Number 2: DOS at the Fermi energy 5.28 states/eV/cell, density 8.41 g/cm³, raw formation energy 0.644 eV/atom.